Material: MgCoOsO6
Method: DFT, PBE+U
State: optimized geometry

Values from the calculation:
Total magnetic moment (μB/f.u.): 1.0
Uncorrected energy (eV per atom): -6.5713

```
data_MgCoOsO6
_cell_length_a 4.9435
_cell_length_b 4.9435
_cell_length_c 9.0880
_cell_angle_alpha 90.00
_cell_angle_beta 90.00
_cell_angle_gamma 120.00
_space_group_name_H-M_alt 'P -3 1 c'
_space_group_IT_number 163
_space_group_name_Hall '-P 3 2c'
loop_
_atom_site_label
_atom_site_type_symbol
_atom_site_fract_x
_atom_site_fract_y
_atom_site_fract_z
Mg1 Mg 0.0000 0.0000 0.0000
Co1 Co 0.3333 0.6667 0.2500
Os1 Os 0.3333 0.6667 0.7500
O1 O 0.0009 0.3547 0.6351
```